## KSc2P4 (PBE)

Data for a relaxed KSc2P4 crystal.

Output
ΔE_f   3.066 eV/f.u.
DOS at the Fermi energy   4.46 states/eV per cell
Spin magnetization   0.0 μB per formula unit

Geometry as CIF:
```
data_KSc2P4
_space_group_name_H-M_alt 'P 1'
_space_group_IT_number 1
_cell_length_a 4.958
_cell_length_b 4.958
_cell_length_c 7.944
_cell_angle_alpha 71.82
_cell_angle_beta 71.82
_cell_angle_gamma 90.00
loop_
_space_group_symop_operation_xyz
'x,y,z'
loop_
_atom_site_label
_atom_site_fract_x
_atom_site_fract_y
_atom_site_fract_z
Sc1 0.603 0.603 0.793
Sc2 0.397 0.397 0.207
P1 0.778 0.778 0.443
P2 0.222 0.222 0.557
P3 0.000 0.500 0.000
P4 0.500 0.000 0.000
K1 0.000 0.000 0.000
```